w | This record from the Alexandria database describes a relaxed TbPm3Al2 crystal. The functional is GGA-PBE.

Cell and atoms, written as POSCAR:
```
TbPm3Al2
1.0
5.204 0.000 0.000
0.000 9.717 0.000
0.000 0.000 6.668
Tb Pm Al
2 6 4
Direct
0.000 0.044 0.000 Tb
0.000 0.956 0.500 Tb
0.000 0.323 0.666 Pm
0.000 0.677 0.166 Pm
0.500 0.171 0.286 Pm
0.500 0.458 0.951 Pm
0.500 0.542 0.451 Pm
0.500 0.829 0.786 Pm
0.000 0.350 0.183 Al
0.000 0.650 0.683 Al
0.500 0.148 0.771 Al
0.500 0.852 0.271 Al
```

***

x | This record from the Alexandria database describes a relaxed TbPm3Al2 crystal. The functional is GGA-PBE.

Cell and atoms, written as POSCAR:
```
TbPm3Al2
1.0
2.464 -7.584 0.000
2.464 7.584 0.000
0.000 0.000 4.447
Tb Pm Al
1 3 2
Direct
0.000 0.000 0.000 Tb
0.176 0.824 0.500 Pm
0.500 0.500 0.500 Pm
0.824 0.176 0.500 Pm
0.345 0.655 0.000 Al
0.655 0.345 0.000 Al
```

***

Most stable: w

***

w | This record from the Alexandria database describes a relaxed Tb3PmAl crystal. The functional is GGA-PBE.

Cell and atoms, written as POSCAR:
```
Tb3PmAl
1.0
7.988 0.000 0.000
0.000 7.089 0.000
-7.734 0.000 10.725
Tb Pm Al
12 4 4
Direct
0.016 0.103 0.373 Tb
0.016 0.397 0.873 Tb
0.382 0.720 0.607 Tb
0.382 0.780 0.107 Tb
0.427 0.670 0.882 Tb
0.427 0.830 0.382 Tb
0.573 0.170 0.618 Tb
0.573 0.330 0.118 Tb
0.618 0.220 0.893 Tb
0.618 0.280 0.393 Tb
0.984 0.603 0.127 Tb
0.984 0.897 0.627 Tb
0.118 0.143 0.141 Pm
0.118 0.357 0.641 Pm
0.882 0.643 0.359 Pm
0.882 0.857 0.859 Pm
0.265 0.059 0.899 Al
0.265 0.441 0.399 Al
0.735 0.559 0.601 Al
0.735 0.941 0.101 Al
```

***

x | This record from the Alexandria database describes a relaxed Tb3PmAl crystal. The functional is GGA-PBE.

Cell and atoms, written as POSCAR:
```
Tb3PmAl
1.0
2.404 -12.474 0.000
2.404 12.474 0.000
0.000 0.000 4.787
Tb Pm Al
6 2 2
Direct
0.051 0.949 0.750 Tb
0.250 0.750 0.750 Tb
0.446 0.554 0.750 Tb
0.554 0.446 0.250 Tb
0.750 0.250 0.250 Tb
0.949 0.051 0.250 Tb
0.150 0.850 0.250 Pm
0.850 0.150 0.750 Pm
0.345 0.655 0.250 Al
0.655 0.345 0.750 Al
```

***

Most stable: x

***

w | This record from the Alexandria database describes a relaxed TbPmYAl crystal. The functional is GGA-PBE.

Cell and atoms, written as POSCAR:
```
TbPmYAl
1.0
3.542 0.000 0.000
0.000 3.542 0.000
0.000 0.000 9.115
Tb Pm Y Al
1 1 1 1
Direct
0.000 0.000 0.000 Tb
0.500 0.500 0.711 Pm
0.000 0.000 0.420 Y
0.500 0.500 0.211 Al
```

***

x | This record from the Alexandria database describes a relaxed TbPmYAl crystal. The functional is GGA-PBE.

Cell and atoms, written as POSCAR:
```
TbPmYAl
1.0
0.000 3.822 3.822
3.822 0.000 3.822
3.822 3.822 0.000
Tb Pm Y Al
1 1 1 1
Direct
0.000 0.000 0.000 Tb
0.750 0.750 0.750 Pm
0.500 0.500 0.500 Y
0.250 0.250 0.250 Al
```

***

Most stable: w

***

w | This record from the Alexandria database describes a relaxed PmAl2Tc crystal. The functional is GGA-PBE.

Cell and atoms, written as POSCAR:
```
PmAl2Tc
1.0
2.143 1.237 5.261
-2.143 1.237 5.261
0.000 -2.475 5.261
Pm Al Tc
1 2 1
Direct
0.000 0.000 0.000 Pm
0.207 0.207 0.207 Al
0.793 0.793 0.793 Al
0.500 0.500 0.500 Tc
```

***

x | This record from the Alexandria database describes a relaxed PmAl2Tc crystal. The functional is GGA-PBE.

Cell and atoms, written as POSCAR:
```
PmAl2Tc
1.0
3.218 0.000 0.000
0.000 3.218 0.000
0.000 0.000 7.317
Pm Al Tc
1 2 1
Direct
0.000 0.000 0.000 Pm
0.500 0.500 0.318 Al
0.500 0.500 0.682 Al
0.000 0.000 0.500 Tc
```

***

Most stable: x

***

w | This record from the Alexandria database describes a relaxed PmThAl crystal. The functional is GGA-PBE.

Cell and atoms, written as POSCAR:
```
PmThAl
1.0
4.194 -2.730 0.000
4.194 2.730 0.000
-1.142 0.000 7.351
Pm Th Al
2 2 2
Direct
0.179 0.179 0.395 Pm
0.821 0.821 0.605 Pm
0.177 0.177 0.905 Th
0.823 0.823 0.095 Th
0.500 0.500 0.241 Al
0.500 0.500 0.759 Al
```

***

x | This record from the Alexandria database describes a relaxed PmThAl crystal. The functional is GGA-PBE.

Cell and atoms, written as POSCAR:
```
PmThAl
1.0
5.142 0.000 0.000
-2.571 4.453 0.000
0.000 0.000 3.673
Pm Th Al
1 1 1
Direct
0.000 0.000 0.000 Pm
0.667 0.333 0.573 Th
0.333 0.667 0.252 Al
```

***

Most stable: w

***

w | This record from the Alexandria database describes a relaxed Pm2ThAl crystal. The functional is GGA-PBE.

Cell and atoms, written as POSCAR:
```
Pm2ThAl
1.0
0.000 3.861 3.861
3.861 0.000 3.861
3.861 3.861 0.000
Pm Th Al
2 1 1
Direct
0.250 0.250 0.250 Pm
0.750 0.750 0.750 Pm
0.000 0.000 0.000 Th
0.500 0.500 0.500 Al
```

***

x | This record from the Alexandria database describes a relaxed Pm2ThAl crystal. The functional is GGA-PBE.

Cell and atoms, written as POSCAR:
```
Pm2ThAl
1.0
3.606 0.000 0.000
0.000 3.606 0.000
0.000 0.000 8.925
Pm Th Al
2 1 1
Direct
0.000 0.000 0.221 Pm
0.000 0.000 0.779 Pm
0.500 0.500 0.500 Th
0.500 0.500 0.000 Al
```

***

Most stable: x